First-principles (PBE) data for Dy3TlPd12 after structural relaxation, as listed in the Alexandria database.

The structure in POSCAR format:
```
Dy3TlPd12
1.0
4.119 0.000 0.000
0.000 4.119 0.000
0.000 0.000 16.423
Dy Tl Pd
3 1 12
direct
0.000 0.000 0.000
0.000 0.000 0.252
0.000 0.000 0.748
0.000 0.000 0.500
0.000 0.500 0.125
0.000 0.500 0.376
0.000 0.500 0.624
0.000 0.500 0.875
0.500 0.000 0.125
0.500 0.000 0.376
0.500 0.000 0.624
0.500 0.000 0.875
0.500 0.500 0.000
0.500 0.500 0.251
0.500 0.500 0.500
0.500 0.500 0.749
```

Properties
DFT formation energy ... -68.6 kJ per mole of atoms
M_tot ... 0.000 μB/f.u.